1.
Crystalline Cs2DyAg2Br6 at its relaxed geometry, computed with GGA-PBE.

a = 8.168 Å, b = 8.168 Å, c = 9.166 Å
α = 117.91°, β = 117.91°, γ = 59.66°
Element x y z (fractional)
1 Cs 0.213 0.213 0.186
2 Cs 0.787 0.787 0.814
3 Dy 0.000 0.000 0.500
4 Ag 0.452 0.452 0.825
5 Ag 0.548 0.548 0.175
6 Br 0.181 0.708 0.241
7 Br 0.223 0.223 0.590
8 Br 0.292 0.819 0.759
9 Br 0.708 0.181 0.241
10 Br 0.777 0.777 0.410
11 Br 0.819 0.292 0.759

Formation energy (no corrections) ... -1268 meV per atom


2.
Crystalline HgPtSe2 at its relaxed geometry, computed with GGA-PBE.

a = 6.519 Å, b = 3.702 Å, c = 18.184 Å
α = 90.00°, β = 90.00°, γ = 90.00°
Element x y z (fractional)
1 Hg 0.092 0.250 0.123
2 Hg 0.408 0.750 0.623
3 Hg 0.592 0.250 0.377
4 Hg 0.908 0.750 0.877
5 Pt 0.095 0.750 0.380
6 Pt 0.405 0.250 0.880
7 Pt 0.595 0.750 0.120
8 Pt 0.905 0.250 0.620
9 Se 0.063 0.750 0.690
10 Se 0.245 0.750 0.949
11 Se 0.255 0.250 0.449
12 Se 0.437 0.250 0.190
13 Se 0.563 0.750 0.810
14 Se 0.745 0.750 0.551
15 Se 0.755 0.250 0.051
16 Se 0.937 0.250 0.310

Energy above the most stable polymorph in this dataset ... 35 meV per atom
Formation energy (no corrections) ... -257 meV per atom


3.
Crystalline YAl3Cd at its relaxed geometry, computed with GGA-PBE.

a = 5.029 Å, b = 5.029 Å, c = 5.029 Å
α = 90.00°, β = 90.00°, γ = 90.00°
Element x y z (fractional)
1 Y 0.000 0.000 0.000
2 Al 0.000 0.500 0.500
3 Al 0.500 0.000 0.500
4 Al 0.500 0.500 0.000
5 Cd 0.500 0.500 0.500

Energy above the most stable polymorph in this dataset ... 0 meV per atom
Formation energy from the elements ... 0.4960 eV per atom


4.
Crystalline RbGa3Rh at its relaxed geometry, computed with GGA-PBE.

a = 4.922 Å, b = 4.922 Å, c = 4.922 Å
α = 90.00°, β = 90.00°, γ = 90.00°
Element x y z (fractional)
1 Rb 0.000 0.000 0.000
2 Ga 0.000 0.500 0.500
3 Ga 0.500 0.000 0.500
4 Ga 0.500 0.500 0.000
5 Rh 0.500 0.500 0.500

Energy above the most stable polymorph in this dataset ... 0 meV per atom
Formation energy from the elements ... -0.2524 eV per atom


5.
Crystalline NaCd3Sn3 at its relaxed geometry, computed with GGA-PBE.

a = 8.132 Å, b = 8.132 Å, c = 8.132 Å
α = 60.67°, β = 60.67°, γ = 60.67°
Element x y z (fractional)
1 Na 0.141 0.141 0.141
2 Na 0.859 0.859 0.859
3 Cd 0.083 0.528 0.224
4 Cd 0.224 0.083 0.528
5 Cd 0.472 0.776 0.917
6 Cd 0.528 0.224 0.083
7 Cd 0.776 0.917 0.472
8 Cd 0.917 0.472 0.776
9 Sn 0.238 0.680 0.382
10 Sn 0.320 0.618 0.762
11 Sn 0.382 0.238 0.680
12 Sn 0.618 0.762 0.320
13 Sn 0.680 0.382 0.238
14 Sn 0.762 0.320 0.618

Energy above the most stable polymorph in this dataset ... 0 meV per atom
Formation energy from the elements ... 0.0163 eV per atom


6.
Crystalline Tl2AsI4 at its relaxed geometry, computed with GGA-PBE.

a = 9.504 Å, b = 9.504 Å, c = 9.504 Å
α = 143.80°, β = 143.80°, γ = 52.13°
Element x y z (fractional)
1 Tl 0.132 0.132 0.000
2 Tl 0.868 0.868 0.000
3 As 0.500 0.500 0.000
4 I 0.000 0.500 0.500
5 I 0.331 0.331 0.000
6 I 0.500 0.000 0.500
7 I 0.669 0.669 0.000

Energy above the most stable polymorph in this dataset ... 6 meV per atom
Formation energy (no corrections) ... -327 meV per atom


7.
Crystalline Ca2NdTcO6 at its relaxed geometry, computed with GGA-PBE.

a = 5.663 Å, b = 5.929 Å, c = 9.911 Å
α = 90.00°, β = 124.19°, γ = 90.00°
Element x y z (fractional)
1 Ca 0.236 0.056 0.254
2 Ca 0.236 0.444 0.754
3 Ca 0.764 0.556 0.246
4 Ca 0.764 0.944 0.746
5 Nd 0.500 0.000 0.000
6 Nd 0.500 0.500 0.500
7 Tc 0.000 0.000 0.500
8 Tc 0.000 0.500 0.000
9 O 0.097 0.220 0.928
10 O 0.097 0.280 0.428
11 O 0.225 0.678 0.942
12 O 0.225 0.822 0.442
13 O 0.346 0.056 0.726
14 O 0.346 0.444 0.226
15 O 0.654 0.556 0.774
16 O 0.654 0.944 0.274
17 O 0.775 0.178 0.558
18 O 0.775 0.322 0.058
19 O 0.903 0.720 0.572
20 O 0.903 0.780 0.072

Formation energy (no corrections) ... -2506 meV per atom


8.
Crystalline HfZnIr2I at its relaxed geometry, computed with GGA-PBE.

a = 4.628 Å, b = 4.628 Å, c = 4.939 Å
α = 90.00°, β = 90.00°, γ = 90.00°
Element x y z (fractional)
1 Hf 0.000 0.000 0.000
2 Zn 0.000 0.000 0.500
3 Ir 0.000 0.500 0.500
4 Ir 0.500 0.000 0.500
5 I 0.500 0.500 0.000

Formation energy (no corrections) ... 1109 meV per atom


9.
Crystalline La3Pr5Nd at its relaxed geometry, computed with GGA-PBE.

a = 7.559 Å, b = 7.559 Å, c = 13.304 Å
α = 101.79°, β = 101.79°, γ = 71.16°
Element x y z (fractional)
1 La 0.000 0.000 0.000
2 La 0.000 0.000 0.500
3 La 0.274 0.274 0.547
4 La 0.430 0.430 0.792
5 La 0.570 0.570 0.208
6 La 0.726 0.726 0.453
7 Pr 0.035 0.657 0.222
8 Pr 0.267 0.267 0.042
9 Pr 0.314 0.686 0.000
10 Pr 0.343 0.965 0.778
11 Pr 0.428 0.428 0.381
12 Pr 0.572 0.572 0.619
13 Pr 0.657 0.035 0.222
14 Pr 0.686 0.314 0.000
15 Pr 0.733 0.733 0.958
16 Pr 0.965 0.343 0.778
17 Nd 0.128 0.128 0.268
18 Nd 0.872 0.872 0.732

Formation energy from the elements ... 0.3653 eV per atom


10.
Crystalline Os4RuW at its relaxed geometry, computed with GGA-PBE.

a = 5.085 Å, b = 5.085 Å, c = 5.085 Å
α = 60.00°, β = 60.00°, γ = 60.00°
Element x y z (fractional)
1 Os 0.376 0.376 0.376
2 Os 0.376 0.376 0.873
3 Os 0.376 0.873 0.376
4 Os 0.873 0.376 0.376
5 Ru 0.750 0.750 0.750
6 W 0.000 0.000 0.000

Energy above the most stable polymorph in this dataset ... 307 meV per atom
Formation energy from the elements ... 0.6012 eV per atom


11.
Crystalline CeSm6Dy3Tm2 at its relaxed geometry, computed with GGA-PBE.

a = 6.202 Å, b = 6.202 Å, c = 11.835 Å
α = 95.02°, β = 95.02°, γ = 119.99°
Element x y z (fractional)
1 Ce 0.000 0.000 0.000
2 Sm 0.083 0.415 0.249
3 Sm 0.249 0.249 0.751
4 Sm 0.415 0.083 0.249
5 Sm 0.585 0.917 0.751
6 Sm 0.751 0.751 0.249
7 Sm 0.917 0.585 0.751
8 Dy 0.167 0.833 0.500
9 Dy 0.500 0.500 0.500
10 Dy 0.833 0.167 0.500
11 Tm 0.333 0.667 0.000
12 Tm 0.667 0.333 0.000

Formation energy from the elements ... 0.0379 eV per atom


12.
Crystalline Y4AgMo at its relaxed geometry, computed with GGA-PBE.

a = 6.099 Å, b = 6.099 Å, c = 6.099 Å
α = 60.00°, β = 60.00°, γ = 60.00°
Element x y z (fractional)
1 Y 0.376 0.376 0.376
2 Y 0.376 0.376 0.872
3 Y 0.376 0.872 0.376
4 Y 0.872 0.376 0.376
5 Ag 0.000 0.000 0.000
6 Mo 0.750 0.750 0.750

Formation energy from the elements ... 0.8682 eV per atom


13.
Crystalline Er2CdPd at its relaxed geometry, computed with GGA-PBE.

a = 5.080 Å, b = 5.080 Å, c = 5.080 Å
α = 60.00°, β = 60.00°, γ = 60.00°
Element x y z (fractional)
1 Er 0.250 0.250 0.250
2 Er 0.750 0.750 0.750
3 Cd 0.000 0.000 0.000
4 Pd 0.500 0.500 0.500

Energy above the most stable polymorph in this dataset ... 54 meV per atom
Formation energy from the elements ... -0.5681 eV per atom


14.
Crystalline YAlSe3 at its relaxed geometry, computed with GGA-PBE.

a = 7.929 Å, b = 7.929 Å, c = 7.929 Å
α = 51.98°, β = 51.98°, γ = 51.98°
Element x y z (fractional)
1 Y 0.000 0.000 0.000
2 Y 0.500 0.500 0.500
3 Al 0.250 0.250 0.250
4 Al 0.750 0.750 0.750
5 Se 0.086 0.750 0.414
6 Se 0.250 0.586 0.914
7 Se 0.414 0.086 0.750
8 Se 0.586 0.914 0.250
9 Se 0.750 0.414 0.086
10 Se 0.914 0.250 0.586

Energy above the most stable polymorph in this dataset ... 156 meV per atom
Formation energy (no corrections) ... -1214 meV per atom


15.
Crystalline CsSiTeCSe at its relaxed geometry, computed with GGA-PBE.

a = 3.580 Å, b = 5.989 Å, c = 7.080 Å
α = 109.05°, β = 90.50°, γ = 90.04°
Element x y z (fractional)
1 Cs 0.000 0.000 0.000
2 Si 0.007 0.679 0.415
3 Te 0.510 0.221 0.562
4 C 0.009 0.006 0.495
5 Se 0.503 0.571 0.170

Energy above the most stable polymorph in this dataset ... 140 meV per atom
Formation energy (no corrections) ... 146 meV per atom


16.
Crystalline B7C3 at its relaxed geometry, computed with GGA-PBE.

a = 12.806 Å, b = 12.806 Å, c = 12.806 Å
α = 12.23°, β = 12.23°, γ = 12.23°
Element x y z (fractional)
1 B 0.000 0.000 0.000
2 B 0.049 0.049 0.049
3 B 0.263 0.263 0.263
4 B 0.405 0.405 0.405
5 B 0.621 0.621 0.621
6 B 0.783 0.783 0.783
7 B 0.886 0.886 0.886
8 C 0.222 0.222 0.222
9 C 0.446 0.446 0.446
10 C 0.663 0.663 0.663

Energy above the most stable polymorph in this dataset ... 72 meV per atom
Formation energy from the elements ... 0.3642 eV per atom


17.
Crystalline TlAs2Os at its relaxed geometry, computed with GGA-PBE.

a = 3.031 Å, b = 3.031 Å, c = 9.223 Å
α = 90.00°, β = 90.00°, γ = 90.00°
Element x y z (fractional)
1 Tl 0.000 0.000 0.000
2 As 0.500 0.500 0.329
3 As 0.500 0.500 0.671
4 Os 0.000 0.000 0.500

Energy above the most stable polymorph in this dataset ... 0 meV per atom
Formation energy from the elements ... 0.1373 eV per atom


18.
Crystalline Sr2HgGe at its relaxed geometry, computed with GGA-PBE.

a = 5.587 Å, b = 5.587 Å, c = 3.903 Å
α = 90.00°, β = 90.00°, γ = 90.00°
Element x y z (fractional)
1 Sr 0.000 0.500 0.000
2 Sr 0.500 0.000 0.000
3 Hg 0.000 0.000 0.500
4 Ge 0.500 0.500 0.500

Formation energy from the elements ... -0.5210 eV per atom


19.
Crystalline RbHg at its relaxed geometry, computed with GGA-PBE.

a = 10.305 Å, b = 10.305 Å, c = 10.305 Å
α = 90.00°, β = 90.00°, γ = 90.00°
Element x y z (fractional)
1 Rb 0.000 0.250 0.500
2 Rb 0.000 0.750 0.500
3 Rb 0.250 0.500 0.000
4 Rb 0.500 0.000 0.250
5 Rb 0.500 0.000 0.750
6 Rb 0.750 0.500 0.000
7 Hg 0.000 0.500 0.250
8 Hg 0.000 0.500 0.750
9 Hg 0.250 0.000 0.500
10 Hg 0.500 0.250 0.000
11 Hg 0.500 0.750 0.000
12 Hg 0.750 0.000 0.500

Formation energy from the elements ... 0.0866 eV per atom


20.
Crystalline Pm6Si2AsI3 at its relaxed geometry, computed with GGA-PBE.

a = 7.440 Å, b = 7.440 Å, c = 8.042 Å
α = 98.86°, β = 98.86°, γ = 120.00°
Element x y z (fractional)
1 Pm 0.097 0.435 0.805
2 Pm 0.227 0.227 0.195
3 Pm 0.435 0.097 0.805
4 Pm 0.565 0.903 0.195
5 Pm 0.773 0.773 0.805
6 Pm 0.903 0.565 0.195
7 Si 0.167 0.833 0.000
8 Si 0.833 0.167 0.000
9 As 0.500 0.500 0.000
10 I 0.000 0.000 0.500
11 I 0.334 0.666 0.500
12 I 0.666 0.334 0.500

Formation energy (no corrections) ... -1076 meV per atom


Number 1: magnetization 0.09 μB/atom, volume 444 Å³/cell. Number 2: magnetization 0.00 μB/atom, volume 439 Å³/cell. Number 3: magnetization 0.00 μB/atom, volume 127 Å³/cell. Number 4: magnetization 0.00 μB/atom, volume 119 Å³/cell. Number 5: magnetization 0.00 μB/atom, volume 386 Å³/cell. Number 6: magnetization 0.01 μB/atom, volume 298 Å³/cell. Number 7: magnetization 0.20 μB/atom, volume 275 Å³/cell. Number 8: magnetization 0.00 μB/atom, volume 106 Å³/cell. Number 9: magnetization 0.00 μB/atom, volume 696 Å³/cell. Number 10: magnetization 0.00 μB/atom, volume 93 Å³/cell. Number 11: magnetization 0.11 μB/atom, volume 388 Å³/cell. Number 12: magnetization 0.20 μB/atom, volume 160 Å³/cell. Number 13: magnetization 0.00 μB/atom, volume 93 Å³/cell. Number 14: magnetization 0.00 μB/atom, volume 286 Å³/cell. Number 15: magnetization 0.00 μB/atom, volume 143 Å³/cell. Number 16: magnetization 0.00 μB/atom, volume 82 Å³/cell. Number 17: magnetization 0.00 μB/atom, volume 85 Å³/cell. Number 18: magnetization 0.00 μB/atom, volume 122 Å³/cell. Number 19: magnetization 0.00 μB/atom, volume 1094 Å³/cell. Number 20: magnetization 0.00 μB/atom, volume 367 Å³/cell.